A relaxed structure of La3Y2HoEr6, computed with PBE. Values from VASP.

## Properties
Formation enthalpy at 0 K: 0.026 eV per atom
Size of the total moment: 0.00 μB per atom

Cell and atoms, written as Quantum ESPRESSO input:
```
&SYSTEM
  ibrav = 0, nat = 12, ntyp = 4
/
ATOMIC_SPECIES
Er 167.26 Er.upf
Y 88.91 Y.upf
La 138.91 La.upf
Ho 164.93 Ho.upf
ATOMIC_POSITIONS angstrom
Er 1.455 1.048 8.593
Er 0.182 -1.683 3.081
Er -2.049 1.621 9.118
Er -3.322 -1.110 3.606
Er -0.739 -1.702 9.301
Er -1.128 1.640 2.897
Y -3.499 0.578 0.521
Y -2.187 -2.751 0.705
La -0.934 -0.031 6.099
La 0.378 -3.360 6.283
La -2.246 3.298 5.916
Ho 0.000 0.000 0.000
CELL_PARAMETERS angstrom
-4.812 3.909 0.337
-0.874 -6.083 0.890
3.819 2.111 10.972
```

=====

A relaxed structure of LaY2Ho3Er6, computed with PBE. Values from VASP.

## Properties
Formation enthalpy at 0 K: 0.026 eV per atom
Size of the total moment: 0.00 μB per atom

Cell and atoms, written as Quantum ESPRESSO input:
```
&SYSTEM
  ibrav = 0, nat = 12, ntyp = 4
/
ATOMIC_SPECIES
Er 167.26 Er.upf
La 138.91 La.upf
Ho 164.93 Ho.upf
Y 88.91 Y.upf
ATOMIC_POSITIONS angstrom
Er 3.612 -1.016 7.774
Er 4.041 -4.467 7.125
Er 2.359 -1.894 1.915
Er -0.189 -4.181 2.802
Er 1.064 -3.303 8.661
Er -0.618 -0.730 3.450
La 0.000 0.000 0.000
Ho 4.680 -3.759 3.757
Ho 1.712 -2.598 5.288
Ho -1.257 -1.438 6.819
Y -2.548 -2.295 0.886
Y 0.424 -3.457 -0.647
CELL_PARAMETERS angstrom
-5.520 -1.134 2.419
3.395 -4.618 -2.179
5.548 0.555 10.336
```

=====

A relaxed structure of La2Y4Ho2Er, computed with PBE. Values from VASP.

## Properties
Formation enthalpy at 0 K: -0.001 eV per atom
Size of the total moment: 0.00 μB per atom

Cell and atoms, written as Quantum ESPRESSO input:
```
&SYSTEM
  ibrav = 0, nat = 9, ntyp = 4
/
ATOMIC_SPECIES
Y 88.91 Y.upf
Ho 164.93 Ho.upf
La 138.91 La.upf
Er 167.26 Er.upf
ATOMIC_POSITIONS angstrom
Y 1.813 -0.870 2.969
Y 0.000 2.240 2.799
Y 1.813 3.438 5.575
Y 0.000 6.548 5.404
Ho 1.813 5.366 2.638
Ho 0.000 0.312 5.736
La 1.813 -0.594 8.681
La 0.000 6.272 -0.307
Er 0.000 0.000 0.000
CELL_PARAMETERS angstrom
3.627 0.000 0.000
-1.813 9.378 -0.507
0.000 -3.700 8.880
```

=====

A relaxed structure of La2Y3Ho6Er, computed with PBE. Values from VASP.

## Properties
Formation enthalpy at 0 K: 0.025 eV per atom
Size of the total moment: 0.00 μB per atom

Cell and atoms, written as Quantum ESPRESSO input:
```
&SYSTEM
  ibrav = 0, nat = 12, ntyp = 4
/
ATOMIC_SPECIES
Ho 164.93 Ho.upf
Y 88.91 Y.upf
La 138.91 La.upf
Er 167.26 Er.upf
ATOMIC_POSITIONS angstrom
Ho 0.001 3.561 8.706
Ho 2.068 3.580 2.957
Ho 3.084 1.780 8.706
Ho -0.013 -0.022 8.698
Ho -1.029 1.778 2.948
Ho 2.054 -0.003 2.948
Y 4.125 -0.010 5.827
Y -2.071 3.568 5.827
Y 1.027 1.779 5.827
La 3.095 1.788 0.006
La 0.002 3.574 0.006
Er 0.000 0.000 0.000
CELL_PARAMETERS angstrom
6.191 0.000 0.006
-3.094 5.362 0.006
-1.042 -1.804 11.642
```

=====

A relaxed structure of La2Y2HoEr2, computed with PBE. Values from VASP.

## Properties
Formation enthalpy at 0 K: 0.086 eV per atom
Size of the total moment: 0.00 μB per atom

Cell and atoms, written as Quantum ESPRESSO input:
```
&SYSTEM
  ibrav = 0, nat = 7, ntyp = 4
/
ATOMIC_SPECIES
Er 167.26 Er.upf
Ho 164.93 Ho.upf
La 138.91 La.upf
Y 88.91 Y.upf
ATOMIC_POSITIONS angstrom
Er 1.762 3.467 5.143
Er 0.000 3.248 8.148
Ho 0.000 0.494 5.932
La 1.762 2.873 11.348
La 0.000 3.842 1.944
Y 1.762 0.769 2.897
Y 0.000 5.946 10.395
CELL_PARAMETERS angstrom
3.523 0.000 0.000
-1.762 5.726 1.427
0.000 0.988 11.865
```

=====

A relaxed structure of LaY3Ho2Er6, computed with PBE. Values from VASP.

## Properties
Formation enthalpy at 0 K: 0.026 eV per atom
Size of the total moment: 0.00 μB per atom

Cell and atoms, written as Quantum ESPRESSO input:
```
&SYSTEM
  ibrav = 0, nat = 12, ntyp = 4
/
ATOMIC_SPECIES
Er 167.26 Er.upf
La 138.91 La.upf
Ho 164.93 Ho.upf
Y 88.91 Y.upf
ATOMIC_POSITIONS angstrom
Er -0.816 -3.033 1.682
Er -4.983 -7.073 3.588
Er -2.517 -4.178 -1.203
Er -7.561 -5.101 2.132
Er -3.394 -1.061 0.226
Er -5.860 -3.956 5.016
La 0.000 0.000 0.000
Ho -1.697 -1.158 -2.891
Ho 0.870 -3.122 -1.441
Y -6.754 -2.104 0.458
Y -1.623 -6.030 3.356
Y -4.188 -4.067 1.907
CELL_PARAMETERS angstrom
-4.266 0.808 -4.342
3.439 -5.087 0.010
-7.550 -3.854 8.146
```

=====

A relaxed structure of La2Y2Ho2Er, computed with PBE. Values from VASP.

## Properties
Formation enthalpy at 0 K: 0.085 eV per atom
Size of the total moment: 0.00 μB per atom

Cell and atoms, written as Quantum ESPRESSO input:
```
&SYSTEM
  ibrav = 0, nat = 7, ntyp = 4
/
ATOMIC_SPECIES
Y 88.91 Y.upf
Ho 164.93 Ho.upf
La 138.91 La.upf
Er 167.26 Er.upf
ATOMIC_POSITIONS angstrom
Y 10.097 -4.962 -4.112
Y 2.745 -2.012 0.721
Ho 7.983 -2.901 -2.220
Ho 4.859 -4.073 -1.171
La 11.079 -4.129 -0.678
La 1.762 -2.845 -2.714
Er 5.896 -0.799 -0.284
CELL_PARAMETERS angstrom
-0.219 -2.498 2.477
1.269 -2.880 -5.299
11.791 -1.597 -0.569
```

=====

A relaxed structure of La2Y5HoEr, computed with PBE. Values from VASP.

## Properties
Formation enthalpy at 0 K: 0.136 eV per atom
Size of the total moment: 0.00 μB per atom

Cell and atoms, written as Quantum ESPRESSO input:
```
&SYSTEM
  ibrav = 0, nat = 18, ntyp = 4
/
ATOMIC_SPECIES
Y 88.91 Y.upf
Ho 164.93 Ho.upf
Er 167.26 Er.upf
La 138.91 La.upf
ATOMIC_POSITIONS angstrom
Y 0.156 0.002 0.350
Y 5.101 5.061 7.190
Y 0.434 3.383 1.758
Y 5.634 1.682 7.625
Y -0.445 -2.649 7.217
Y -0.180 1.875 5.045
Y 2.274 -0.298 6.114
Y 5.650 0.569 11.120
Y 2.725 4.214 4.403
Y 2.115 1.558 11.267
Ho 2.346 2.828 7.844
Ho -0.213 -1.355 3.727
Er 6.586 6.814 5.129
Er 3.322 -0.462 9.014
La -0.221 0.699 8.608
La 4.872 3.903 10.266
La 2.584 0.911 3.066
La 6.206 3.192 4.237
CELL_PARAMETERS angstrom
-3.245 4.421 1.422
0.799 -5.822 8.635
8.709 5.466 2.880
```

=====

A relaxed structure of La6YHo2Er, computed with PBE. Values from VASP.

## Properties
Formation enthalpy at 0 K: 0.118 eV per atom
Size of the total moment: 0.00 μB per atom

Cell and atoms, written as Quantum ESPRESSO input:
```
&SYSTEM
  ibrav = 0, nat = 20, ntyp = 4
/
ATOMIC_SPECIES
La 138.91 La.upf
Er 167.26 Er.upf
Ho 164.93 Ho.upf
Y 88.91 Y.upf
ATOMIC_POSITIONS angstrom
La 3.354 -1.383 3.373
La 1.614 -1.073 6.423
La 4.943 -0.673 6.837
La 7.683 6.288 1.717
La 7.833 2.541 -2.170
La 3.203 2.363 7.260
La 6.094 5.578 -1.747
La 2.154 5.106 2.416
La 4.403 3.559 0.811
La 8.883 -0.202 2.673
La 9.422 5.978 -1.333
La 6.633 1.345 4.279
Er 7.758 2.881 1.251
Er 3.279 2.023 3.839
Ho 9.954 2.877 3.961
Ho 1.082 2.027 1.129
Ho 5.562 0.173 1.154
Ho 5.475 4.732 3.936
Y 7.758 -2.854 6.778
Y 3.279 7.759 -1.688
CELL_PARAMETERS angstrom
8.959 -1.760 -1.827
1.039 8.805 -1.815
1.039 -2.141 8.732
```

=====

A relaxed structure of La2Y4HoEr2, computed with PBE. Values from VASP.

## Properties
Formation enthalpy at 0 K: 0.028 eV per atom
Size of the total moment: 0.00 μB per atom

Cell and atoms, written as Quantum ESPRESSO input:
```
&SYSTEM
  ibrav = 0, nat = 9, ntyp = 4
/
ATOMIC_SPECIES
La 138.91 La.upf
Y 88.91 Y.upf
Er 167.26 Er.upf
Ho 164.93 Ho.upf
ATOMIC_POSITIONS angstrom
La 1.306 4.335 4.236
La 4.492 3.345 2.749
Y -0.970 -1.354 3.208
Y 4.057 6.692 4.033
Y 6.768 9.033 3.777
Y 1.741 0.988 2.953
Er 7.176 5.690 2.515
Er -1.378 1.990 4.470
Ho 0.000 0.000 0.000
CELL_PARAMETERS angstrom
7.563 2.355 1.232
1.907 9.019 2.333
-3.672 -3.694 3.421
```

=====

A relaxed structure of La2Y3HoEr6, computed with PBE. Values from VASP.

## Properties
Formation enthalpy at 0 K: 0.026 eV per atom
Size of the total moment: 0.00 μB per atom

Cell and atoms, written as Quantum ESPRESSO input:
```
&SYSTEM
  ibrav = 0, nat = 12, ntyp = 4
/
ATOMIC_SPECIES
Y 88.91 Y.upf
Er 167.26 Er.upf
La 138.91 La.upf
Ho 164.93 Ho.upf
ATOMIC_POSITIONS angstrom
Y 7.014 0.774 0.944
Y 2.608 6.254 2.184
Y 4.811 3.514 1.564
Er 8.285 3.884 2.040
Er 6.092 6.612 2.658
Er 3.530 0.416 0.470
Er 1.336 3.144 1.087
Er 2.968 1.520 3.824
Er 6.654 5.507 -0.697
La 1.630 -1.629 2.725
La -0.570 1.108 3.344
Ho 0.000 0.000 0.000
CELL_PARAMETERS angstrom
-2.772 3.847 3.964
3.832 -4.368 2.105
8.561 7.549 -2.941
```

=====

A relaxed structure of LaY6Ho2Er3, computed with PBE. Values from VASP.

## Properties
Formation enthalpy at 0 K: 0.026 eV per atom
Size of the total moment: 0.00 μB per atom

Cell and atoms, written as Quantum ESPRESSO input:
```
&SYSTEM
  ibrav = 0, nat = 12, ntyp = 4
/
ATOMIC_SPECIES
Y 88.91 Y.upf
Ho 164.93 Ho.upf
Er 167.26 Er.upf
La 138.91 La.upf
ATOMIC_POSITIONS angstrom
Y -1.678 8.363 3.941
Y -0.392 8.660 0.639
Y -3.340 2.605 2.762
Y -3.906 8.468 1.148
Y -2.054 2.902 -0.539
Y 0.173 2.797 2.254
Ho -1.300 -0.299 3.303
Ho -3.519 -0.194 0.522
Er 0.350 5.528 4.480
Er -1.866 5.633 1.701
Er -4.083 5.737 -1.078
La 0.000 0.000 0.000
CELL_PARAMETERS angstrom
-5.739 -0.089 -2.261
0.920 -0.404 6.086
1.087 11.758 -0.424
```

=====

A relaxed structure of LaYHoEr3, computed with PBE. Values from VASP.

## Properties
Formation enthalpy at 0 K: 0.213 eV per atom
Size of the total moment: 0.00 μB per atom

Cell and atoms, written as Quantum ESPRESSO input:
```
&SYSTEM
  ibrav = 0, nat = 12, ntyp = 4
/
ATOMIC_SPECIES
Er 167.26 Er.upf
Ho 164.93 Ho.upf
La 138.91 La.upf
Y 88.91 Y.upf
ATOMIC_POSITIONS angstrom
Er -1.023 4.604 3.558
Er 2.591 3.303 4.277
Er 4.510 -2.231 7.987
Er 1.201 2.663 7.553
Er 2.286 -0.290 3.992
Er 0.896 -0.929 7.268
Ho 3.890 0.609 6.717
Ho -0.403 1.764 4.828
La -1.164 -0.924 3.689
La 4.651 3.297 7.856
Y 0.890 1.343 1.455
Y 2.597 1.031 10.090
CELL_PARAMETERS angstrom
-4.878 0.191 2.808
6.706 -4.283 6.294
1.660 6.465 2.443
```

=====

A relaxed structure of LaHoErZn, computed with PBE. Values from VASP.

## Properties
Formation enthalpy at 0 K: -0.157 eV per atom
Energy above the most stable polymorph in this dataset: 0.000 eV per atom
Size of the total moment: 0.00 μB per atom

Cell and atoms, written as Quantum ESPRESSO input:
```
&SYSTEM
  ibrav = 0, nat = 4, ntyp = 4
/
ATOMIC_SPECIES
Ho 164.93 Ho.upf
Zn 65.41 Zn.upf
La 138.91 La.upf
Er 167.26 Er.upf
ATOMIC_POSITIONS angstrom
Ho 4.685 -4.002 3.790
Zn 4.146 -1.233 2.566
La 0.525 -0.156 0.325
Er 1.827 -3.152 2.022
CELL_PARAMETERS angstrom
-2.014 -1.607 2.484
0.211 -3.075 -1.818
7.277 -2.163 4.503
```

=====

A relaxed structure of LaHoErZn, computed with PBE. Values from VASP.

## Properties
Formation enthalpy at 0 K: 0.030 eV per atom
Energy above the most stable polymorph in this dataset: 0.187 eV per atom
Size of the total moment: 0.00 μB per atom

Cell and atoms, written as Quantum ESPRESSO input:
```
&SYSTEM
  ibrav = 0, nat = 4, ntyp = 4
/
ATOMIC_SPECIES
La 138.91 La.upf
Ho 164.93 Ho.upf
Zn 65.41 Zn.upf
Er 167.26 Er.upf
ATOMIC_POSITIONS angstrom
La 2.706 1.562 1.105
Ho 8.119 4.687 3.314
Zn 0.000 0.000 0.000
Er 5.412 3.125 2.210
CELL_PARAMETERS angstrom
5.412 0.000 0.000
2.706 4.687 0.000
2.706 1.562 4.419
```

=====

A relaxed structure of LaHoErZr, computed with PBE. Values from VASP.

## Properties
Formation enthalpy at 0 K: 0.211 eV per atom
Size of the total moment: 0.15 μB per atom

Cell and atoms, written as Quantum ESPRESSO input:
```
&SYSTEM
  ibrav = 0, nat = 4, ntyp = 4
/
ATOMIC_SPECIES
Ho 164.93 Ho.upf
Zr 91.22 Zr.upf
La 138.91 La.upf
Er 167.26 Er.upf
ATOMIC_POSITIONS angstrom
Ho 2.763 1.595 1.128
Zr 5.525 3.190 2.256
La 0.000 0.000 0.000
Er 8.288 4.785 3.384
CELL_PARAMETERS angstrom
5.525 0.000 0.000
2.763 4.785 0.000
2.763 1.595 4.512
```

=====

A relaxed structure of Li4HoEr, computed with PBE. Values from VASP.

## Properties
Formation enthalpy at 0 K: 0.121 eV per atom
Size of the total moment: 0.00 μB per atom

Cell and atoms, written as Quantum ESPRESSO input:
```
&SYSTEM
  ibrav = 0, nat = 6, ntyp = 3
/
ATOMIC_SPECIES
Li 6.94 Li.upf
Er 167.26 Er.upf
Ho 164.93 Ho.upf
ATOMIC_POSITIONS angstrom
Li 7.261 4.192 2.964
Li 5.808 1.676 2.964
Li 5.808 3.353 0.592
Li 4.355 4.192 2.964
Er 0.000 0.000 0.000
Ho 2.904 1.677 1.186
CELL_PARAMETERS angstrom
5.808 0.000 0.000
2.904 5.030 0.000
2.904 1.677 4.743
```

=====

A relaxed structure of LiHoEr2, computed with PBE. Values from VASP.

## Properties
Formation enthalpy at 0 K: 0.160 eV per atom
Energy above the most stable polymorph in this dataset: 0.088 eV per atom
Size of the total moment: 0.00 μB per atom

Cell and atoms, written as Quantum ESPRESSO input:
```
&SYSTEM
  ibrav = 0, nat = 4, ntyp = 3
/
ATOMIC_SPECIES
Ho 164.93 Ho.upf
Er 167.26 Er.upf
Li 6.94 Li.upf
ATOMIC_POSITIONS angstrom
Ho 1.871 2.753 2.753
Er 0.000 0.000 2.753
Er 0.000 2.753 0.000
Li 1.871 0.000 0.000
CELL_PARAMETERS angstrom
3.741 0.000 0.000
0.000 5.505 0.000
0.000 0.000 5.505
```

=====

A relaxed structure of LiHoEr2, computed with PBE. Values from VASP.

## Properties
Formation enthalpy at 0 K: 0.072 eV per atom
Energy above the most stable polymorph in this dataset: 0.000 eV per atom
Size of the total moment: 0.00 μB per atom

Cell and atoms, written as Quantum ESPRESSO input:
```
&SYSTEM
  ibrav = 0, nat = 4, ntyp = 3
/
ATOMIC_SPECIES
Li 6.94 Li.upf
Er 167.26 Er.upf
Ho 164.93 Ho.upf
ATOMIC_POSITIONS angstrom
Li 1.784 1.784 0.000
Er 0.000 0.000 6.794
Er 0.000 0.000 1.949
Ho 1.784 1.784 4.372
CELL_PARAMETERS angstrom
3.567 0.000 0.000
0.000 3.567 0.000
0.000 0.000 8.744
```

=====

A relaxed structure of LiHoEr2, computed with PBE. Values from VASP.

## Properties
Formation enthalpy at 0 K: 0.181 eV per atom
Energy above the most stable polymorph in this dataset: 0.109 eV per atom
Size of the total moment: 0.00 μB per atom

Cell and atoms, written as Quantum ESPRESSO input:
```
&SYSTEM
  ibrav = 0, nat = 4, ntyp = 3
/
ATOMIC_SPECIES
Li 6.94 Li.upf
Ho 164.93 Ho.upf
Er 167.26 Er.upf
ATOMIC_POSITIONS angstrom
Li 0.000 0.000 0.000
Ho 5.422 3.130 2.213
Er 2.711 1.565 1.107
Er 8.132 4.695 3.320
CELL_PARAMETERS angstrom
5.422 0.000 0.000
2.711 4.695 0.000
2.711 1.565 4.427
```